First-principles (GGA-PBE) data for an optimized crystal structure of ErNp2F8, as listed in the Alexandria database.

Cell lengths 4.006, 6.751, 7.501 Å; angles 100.08, 90.00, 107.26 degrees
Each line ends with the local moment (μB).
Fractional positions:
1 F 0.312 0.623 0.930  0.00
2 F 0.559 0.117 0.748  -0.01
3 F 0.441 0.883 0.252  -0.01
4 F 0.801 0.602 0.441  -0.01
5 F 0.688 0.377 0.070  0.00
6 F 0.072 0.144 0.129  0.00
7 F 0.199 0.398 0.559  -0.01
8 F 0.928 0.856 0.871  0.00
9 Np 0.262 0.524 0.264  4.34
10 Np 0.738 0.476 0.736  4.34
11 Er 0.500 0.000 0.000  0.02

## Properties
Raw formation energy   -3451 meV per atom
Calculated volume   190 Å³/cell



First-principles (GGA-PBE) data for an optimized crystal structure of Er2NpF11, as listed in the Alexandria database.

Cell lengths 7.985, 8.525, 8.525 Å; angles 73.88, 62.08, 62.08 degrees
Each line ends with the local moment (μB).
Fractional positions:
1 F 0.248 0.522 0.177  -0.01
2 F 0.872 0.774 0.226  0.00
3 F 0.500 0.500 0.500  0.00
4 F 0.553 0.022 0.677  -0.01
5 F 0.447 0.978 0.323  -0.01
6 F 0.748 0.677 0.022  -0.01
7 F 0.128 0.226 0.774  0.00
8 F 0.053 0.177 0.522  -0.01
9 F 0.947 0.823 0.478  -0.01
10 F 0.072 0.573 0.703  -0.02
11 F 0.928 0.427 0.297  -0.02
12 F 0.000 0.000 0.000  0.00
13 F 0.572 0.203 0.073  -0.02
14 F 0.848 0.927 0.797  -0.02
15 F 0.348 0.297 0.427  -0.02
16 F 0.752 0.478 0.823  -0.01
17 F 0.652 0.703 0.573  -0.02
18 F 0.152 0.073 0.203  -0.02
19 F 0.628 0.274 0.726  0.00
20 F 0.428 0.797 0.927  -0.02
21 F 0.372 0.726 0.274  0.00
22 F 0.252 0.323 0.978  -0.01
23 Er 0.134 0.818 0.182  0.00
24 Er 0.866 0.182 0.818  0.00
25 Er 0.366 0.318 0.682  0.00
26 Er 0.634 0.682 0.318  0.00
27 Np 0.250 0.250 0.250  2.10
28 Np 0.750 0.750 0.750  2.10

## Properties
Raw formation energy   -3712 meV per atom
Calculated volume   452 Å³/cell



First-principles (GGA-PBE) data for an optimized crystal structure of ErOF, as listed in the Alexandria database.

Cell lengths 3.502, 3.502, 4.917 Å; angles 90.00, 90.00, 120.00 degrees
Fractional positions:
1 F 0.000 0.000 0.119
2 O 0.333 0.667 0.517
3 Er 0.667 0.333 0.365

## Properties
Raw formation energy   -3664 meV per atom
Calculated volume   52 Å³/cell



First-principles (GGA-PBE) data for an optimized crystal structure of ErOF, as listed in the Alexandria database.

Cell lengths 3.781, 3.781, 6.663 Å; angles 73.52, 73.52, 60.00 degrees
Fractional positions:
1 F 0.870 0.870 0.390
2 F 0.130 0.130 0.610
3 Er 0.741 0.741 0.777
4 Er 0.259 0.259 0.223
5 O 0.378 0.378 0.865
6 O 0.622 0.622 0.135

## Properties
Raw formation energy   -3917 meV per atom
Calculated volume   78 Å³/cell



Number 1: VASP energy -7.5793 eV/atom. Number 2: VASP energy -6.7581 eV/atom. Number 3: VASP energy -7.4618 eV/atom. Number 4: VASP energy -7.7145 eV/atom.